# 1
Density functional theory data (GGA-PBE) for an optimized crystal structure of MgMo2W.

The structure in POSCAR format:
```
MgMo2W
1.0
3.1995 0.0000 0.0000
0.0000 4.5863 0.0000
0.0000 0.0000 8.9629
Mg Mo W
2 4 2
Direct
0.0000 0.0000 0.0000
0.5000 0.5000 0.5000
0.0000 0.5000 0.2353
0.0000 0.5000 0.7647
0.5000 0.0000 0.2647
0.5000 0.0000 0.7353
0.0000 0.0000 0.5000
0.5000 0.5000 0.0000
```

Computed properties:
Space group   Immm, No. 71
Total moment   0.00 μB/atom
Calculated density   10.10 g/cm³
Energy of formation   0.318 eV/atom

---

# 2
Density functional theory data (GGA-PBE) for an optimized crystal structure of NbVNi3.

The structure in POSCAR format:
```
NbVNi3
1.0
4.2215 0.0000 0.0000
0.0000 4.2215 0.0000
0.0000 0.0000 4.2215
Nb V Ni
1 1 3
Direct
0.0000 0.0000 0.0000
0.5000 0.5000 0.5000
0.0000 0.5000 0.5000
0.5000 0.0000 0.5000
0.5000 0.5000 0.0000
```

Computed properties:
Space group   Pm-3m, No. 221
Total moment   0.01 μB/atom
Offset from the most stable computed form   1.019 eV per atom
Calculated density   7.06 g/cm³
Energy of formation   0.850 eV/atom

---

# 3
Density functional theory data (GGA-PBE) for an optimized crystal structure of SmYHg.

The structure in POSCAR format:
```
SmYHg
1.0
3.6665 0.0000 0.0000
0.0000 3.6665 0.0000
0.0000 0.0000 12.9365
Sm Y Hg
2 2 2
Direct
0.0000 0.0000 0.0000
0.5000 0.5000 0.5000
0.0000 0.0000 0.3060
0.5000 0.5000 0.8060
0.0000 0.0000 0.6593
0.5000 0.5000 0.1593
```

Computed properties:
Space group   I4mm, No. 107
Total moment   0.28 μB/atom
Offset from the most stable computed form   0.053 eV per atom
Calculated density   8.40 g/cm³
Energy of formation   -0.310 eV/atom

---

# 4
Density functional theory data (GGA-PBE) for an optimized crystal structure of Ta2Nb6Tc.

The structure in POSCAR format:
```
Ta2Nb6Tc
1.0
7.3881 -1.3527 0.0000
7.3881 1.3527 0.0000
-5.7973 0.0000 8.2153
Ta Nb Tc
2 6 1
Direct
0.1685 0.1685 0.3261
0.8315 0.8315 0.6739
0.1129 0.1129 0.5559
0.2777 0.2777 0.8906
0.4491 0.4491 0.2257
0.5509 0.5509 0.7743
0.7223 0.7223 0.1094
0.8871 0.8871 0.4441
0.5000 0.5000 0.0000
```

Computed properties:
Space group   C2/m, No. 12
Total moment   0.00 μB/atom
Offset from the most stable computed form   0.195 eV per atom
Calculated density   10.29 g/cm³
Energy of formation   0.191 eV/atom

---

Q: What is the formula in the fourth record?
A: Ta2Nb6Tc

---

Q: What is the calculated density in the first record?
A: 10.10 g/cm³

---

Q: Look up the energy of formation of the third one.
A: -0.310 eV/atom